Si2HgBr: relaxed, PBE-GGA.

The space group is Imm2 (No. 44) and the conventional cell measures 3.704, 4.203 and 12.266 Å, with angles of 90.00, 90.00 and 90.00 degrees. The distinct sites, in fractional coordinates, are Si at (0.000, 0.000, 0.000), Si at (0.000, 0.500, 0.378), Hg at (0.000, 0.000, 0.540) and Br at (0.000, 0.500, 0.751).

The volume is 23.87 A^3/atom. As for the formation energy without anion corrections: 0.39 eV per atom. For the energy above the most stable polymorph in this dataset, the calculation gives 0.239 eV per atom.